# 1
Density functional theory data (GGA-PBE) for MnMo2Ru after structural relaxation.

Output
**Final energy**: -39.83 eV for the cell shown
**Total magnetization**: 0.734 μB/atom
**Space group**: Pmmm (47)
**ΔE to the lowest computed polymorph**: 0 meV per atom
**ΔH_f (0 K)**: 0.068 eV per atom

a = 3.152 Å, b = 4.291 Å, c = 4.342 Å
α = 90.00°, β = 90.00°, γ = 90.00°
Fractional positions:
Mn1 0.000 0.000 0.000
Mo1 0.000 0.500 0.500
Mo2 0.500 0.000 0.500
Ru1 0.500 0.500 0.000

=====

# 2
Density functional theory data (GGA-PBE) for TbDyHo after structural relaxation.

Output
**Final energy**: -13.75 eV for the cell shown
**Total magnetization**: 0.000 μB/atom
**Space group**: I4mm (107)
**ΔE to the lowest computed polymorph**: 2 meV per atom
**ΔH_f (0 K)**: 0.019 eV per atom

a = 7.914 Å, b = 7.914 Å, c = 7.914 Å
α = 154.21°, β = 154.21°, γ = 36.79°
Fractional positions:
Tb1 0.000 0.000 0.000
Dy1 0.333 0.333 0.000
Ho1 0.667 0.667 0.000

=====

# 3
Density functional theory data (GGA-PBE) for SmHfBi after structural relaxation.

Output
**Final energy**: -39.96 eV for the cell shown
**Total magnetization**: 0.000 μB/atom
**Space group**: P4/nmm (129)
**ΔH_f (0 K)**: -0.475 eV per atom

a = 4.399 Å, b = 4.399 Å, c = 8.491 Å
α = 90.00°, β = 90.00°, γ = 90.00°
Fractional positions:
Sm1 0.250 0.250 0.151
Sm2 0.750 0.750 0.849
Hf1 0.250 0.750 0.500
Hf2 0.750 0.250 0.500
Bi1 0.250 0.250 0.762
Bi2 0.750 0.750 0.238

=====

Look up the final energy of the second one.
-13.75 eV for the cell shown

=====

Among the records above, which one has the highest final energy?
TbDyHo

=====

Among the records above, which one has the lowest ΔH_f (0 K)?
SmHfBi

=====

Copy entry 1 word for word.
Density functional theory data (GGA-PBE) for MnMo2Ru after structural relaxation.

Output
**Final energy**: -39.83 eV for the cell shown
**Total magnetization**: 0.734 μB/atom
**Space group**: Pmmm (47)
**ΔE to the lowest computed polymorph**: 0 meV per atom
**ΔH_f (0 K)**: 0.068 eV per atom

a = 3.152 Å, b = 4.291 Å, c = 4.342 Å
α = 90.00°, β = 90.00°, γ = 90.00°
Fractional positions:
Mn1 0.000 0.000 0.000
Mo1 0.000 0.500 0.500
Mo2 0.500 0.000 0.500
Ru1 0.500 0.500 0.000